1.
Density functional theory data (PBE) for crystalline Dy2GaTc at its relaxed geometry.

Properties
ΔH_f (0 K)	90	kJ/mol of formula units
ρ	8.0	g/cm3

a = 3.4013 Å, b = 3.4013 Å, c = 30.4905 Å
α = 90.00°, β = 90.00°, γ = 120.00°
Space group R-3m (No. 166, hexagonal axes)
Unique sites:
Dy: 0.0000 0.0000 0.1004
Ga: 0.0000 0.0000 0.0000
Tc: 0.0000 0.0000 0.5000

2.
Density functional theory data (PBE) for crystalline FeNi4Pd8 at its relaxed geometry.

Properties
ΔH_f (0 K)	284	kJ/mol of formula units
ρ	9.4	g/cm3

a = 5.859 Å, b = 5.859 Å, c = 5.859 Å
α = 90.00°, β = 90.00°, γ = 90.00°
Space group Pm-3m (No. 221)
Unique sites:
Fe: 0.000 0.000 0.000
Ni: 0.000 0.000 0.500
Ni: 0.500 0.500 0.500
Pd: 0.255 0.255 0.255

3.
Density functional theory data (PBE) for crystalline Ni2Te3Rh at its relaxed geometry.

Properties
ρ	7.6	g/cm3
uncorrected formation energy	-0.232	eV/atom

a = 7.370 Å, b = 3.684 Å, c = 10.113 Å
α = 90.00°, β = 105.83°, γ = 90.00°
Space group P2_1/m (No. 11)
Unique sites:
Ni: 0.045 0.250 0.426
Ni: 0.409 0.750 0.912
Te: 0.055 0.750 0.827
Te: 0.282 0.750 0.515
Te: 0.408 0.750 0.162
Rh: 0.230 0.250 0.703

4.
Density functional theory data (PBE) for crystalline GaCuI2 at its relaxed geometry.

Properties
ρ	5.8	g/cm3
polymorph energy (0 for the lowest one)	0.348	eV per atom
uncorrected formation energy	0.171	eV/atom

a = 7.608 Å, b = 7.608 Å, c = 7.608 Å
α = 90.00°, β = 90.00°, γ = 90.00°
Space group Fm-3m (No. 225)
Unique sites:
Ga: 0.000 0.000 0.000
Cu: 0.000 0.000 0.500
I: 0.250 0.250 0.250

5.
Density functional theory data (PBE) for crystalline MoSe3S at its relaxed geometry.

Properties
ρ	5.5	g/cm3
uncorrected formation energy	0.963	eV/atom

a = 4.805 Å, b = 4.805 Å, c = 4.805 Å
α = 90.00°, β = 90.00°, γ = 90.00°
Space group Pm-3m (No. 221)
Unique sites:
Mo: 0.000 0.000 0.000
Se: 0.000 0.500 0.500
S: 0.500 0.500 0.500

6.
Density functional theory data (PBE) for crystalline HfCu2Pd4 at its relaxed geometry.

Properties
ΔH_f (0 K)	-222	kJ/mol of formula units
ρ	11.2	g/cm3
polymorph energy (0 for the lowest one)	0.019	eV per atom

a = 4.576 Å, b = 9.809 Å, c = 4.828 Å
α = 90.00°, β = 93.99°, γ = 90.00°
Space group P2_1/c (No. 14)
Unique sites:
Hf: 0.000 0.000 0.000
Cu: 0.454 0.068 0.691
Pd: 0.054 0.658 0.998
Pd: 0.440 0.176 0.167